1.
BSI3, relaxed, DFT PBE; distance to the lowest polymorph of the same formula = 0 meV per atom; magnetization = 2.04 μB per formula unit; space-group type = P2_1/m, No. 11; uncorrected formation energy = 0.476 eV/atom; E = -26.155 eV per cell
1.0
6.053 0.000 0.000
0.000 8.850 0.000
-0.804 0.000 8.879
B S I
2 2 6
direct
0.242 0.250 0.306 B
0.758 0.750 0.694 B
0.359 0.250 0.918 S
0.641 0.750 0.082 S
0.178 0.250 0.536 I
0.282 0.043 0.189 I
0.282 0.457 0.189 I
0.718 0.543 0.811 I
0.718 0.957 0.811 I
0.822 0.750 0.464 I

***

2.
B3SI, relaxed, DFT PBE; distance to the lowest polymorph of the same formula = 849 meV per atom; magnetization = 0.00 μB per formula unit; space-group type = Pm-3m, No. 221; uncorrected formation energy = 2.734 eV/atom; E = -12.038 eV per cell
1.0
4.479 0.000 0.000
0.000 4.479 0.000
0.000 0.000 4.479
B S I
3 1 1
direct
0.000 0.000 0.500 B
0.000 0.500 0.000 B
0.500 0.000 0.000 B
0.500 0.500 0.500 S
0.000 0.000 0.000 I

***

3.
BSI, relaxed, DFT PBE; distance to the lowest polymorph of the same formula = 0 meV per atom; magnetization = 0.00 μB per formula unit; space-group type = P-1, No. 2; uncorrected formation energy = -0.074 eV/atom; E = -25.156 eV per cell
1.0
3.387 0.000 0.000
-0.031 7.265 0.000
-1.473 -0.614 7.280
B S I
2 2 2
direct
0.199 0.060 0.381 B
0.801 0.940 0.619 B
0.315 0.094 0.648 S
0.685 0.906 0.352 S
0.131 0.300 0.220 I
0.869 0.700 0.780 I